# 1
The following is a DFT calculation (PBE-GGA) of crystalline La2Tb7Er3 at its relaxed geometry.

Results
- Theoretical density: 7.966 g cm⁻³
- Energy of formation: 1.11 eV per formula unit
- Size of the total moment: 0.00 μB per cell

Geometry as CIF:
```
data_La2Tb7Er3
_space_group_name_H-M_alt 'P 1 2/m 1'
_space_group_IT_number 10
_cell_length_a 5.8165
_cell_length_b 3.5995
_cell_length_c 18.8769
_cell_angle_alpha 90.00
_cell_angle_beta 93.67
_cell_angle_gamma 90.00
loop_
_space_group_symop_operation_xyz
'x,y,z'
'-x,-y,-z'
'-x,y,-z'
'x,-y,z'
loop_
_atom_site_label
_atom_site_fract_x
_atom_site_fract_y
_atom_site_fract_z
La1 0.2028 0.0000 0.2949
Tb1 0.1781 0.5000 0.1406
Tb2 0.2416 0.0000 0.4625
Tb3 0.3201 0.0000 0.8268
Tb4 0.5000 0.5000 0.0000
Er1 0.0000 0.0000 0.0000
Er2 0.2810 0.5000 0.6276
```

=====

# 2
The following is a DFT calculation (PBE-GGA) of crystalline La3Tb3Er2 at its relaxed geometry.

Results
- Theoretical density: 7.600 g cm⁻³
- Energy of formation: 0.25 eV per formula unit
- Size of the total moment: 0.00 μB per cell

Geometry as CIF:
```
data_La3Tb3Er2
_space_group_name_H-M_alt 'I m m m'
_space_group_IT_number 71
_space_group_name_Hall '-I 2 2'
_cell_length_a 5.0781
_cell_length_b 5.1449
_cell_length_c 20.5386
_cell_angle_alpha 90.00
_cell_angle_beta 90.00
_cell_angle_gamma 90.00
loop_
_atom_site_label
_atom_site_fract_x
_atom_site_fract_y
_atom_site_fract_z
La1 0.0000 0.0000 0.0000
La2 0.0000 0.5000 0.1258
Tb1 0.0000 0.0000 0.5000
Tb2 0.0000 0.5000 0.3715
Er1 0.0000 0.0000 0.2489
```

=====

# 3
The following is a DFT calculation (PBE-GGA) of crystalline La5TbEr at its relaxed geometry.

Results
- Theoretical density: 6.777 g cm⁻³
- Energy of formation: 0.90 eV per formula unit
- Size of the total moment: 0.00 μB per cell

Geometry as CIF:
```
data_La5TbEr
_space_group_name_H-M_alt 'C 1 2/c 1'
_space_group_IT_number 15
_cell_length_a 16.7395
_cell_length_b 6.7448
_cell_length_c 11.0286
_cell_angle_alpha 90.00
_cell_angle_beta 126.54
_cell_angle_gamma 90.00
loop_
_space_group_symop_operation_xyz
'x,y,z'
'-x,-y,-z'
'-x,y,-z+1/2'
'x,-y,z+1/2'
'x+1/2,y+1/2,z'
'-x+1/2,-y+1/2,-z'
'-x+1/2,y+1/2,-z+1/2'
'x+1/2,-y+1/2,z+1/2'
loop_
_atom_site_label
_atom_site_fract_x
_atom_site_fract_y
_atom_site_fract_z
La1 0.0000 0.0094 0.2500
La2 0.0906 0.2549 0.5927
La3 0.1749 0.2539 0.0917
Tb1 0.2500 0.2500 0.5000
Er1 0.0000 0.4874 0.2500
```

=====

# 4
The following is a DFT calculation (PBE-GGA) of crystalline La7TbEr4 at its relaxed geometry.

Results
- Theoretical density: 7.217 g cm⁻³
- Energy of formation: 0.21 eV per formula unit
- Size of the total moment: 0.00 μB per cell

Geometry as CIF:
```
data_La7TbEr4
_space_group_name_H-M_alt 'P -1'
_space_group_IT_number 2
_cell_length_a 6.4044
_cell_length_b 7.3402
_cell_length_c 9.0606
_cell_angle_alpha 90.04
_cell_angle_beta 103.45
_cell_angle_gamma 90.08
loop_
_space_group_symop_operation_xyz
'x,y,z'
'-x,-y,-z'
loop_
_atom_site_label
_atom_site_fract_x
_atom_site_fract_y
_atom_site_fract_z
La1 0.0000 0.0000 0.0000
La2 0.2207 0.4990 0.6671
La3 0.2821 0.7492 0.3367
La4 0.4982 0.7540 0.9953
Tb1 0.0000 0.5000 0.0000
Er1 0.2186 0.9996 0.6633
Er2 0.2760 0.2446 0.3323
```

=====

Q: energy of formation of number 4 (La7TbEr4)?
A: 0.21 eV per formula unit

=====

Q: Which of these has the highest theoretical density?
A: La2Tb7Er3